Density functional theory data (GGA-PBE) for a relaxed structure of LiCuSiOs.

Lattice parameters (Å, degrees): 4.1107 4.1107 4.1107 60.00 60.00 60.00
Last column: nearest neighbours and their distance in Å.
Sites, in units of the cell vectors:
Li 0.0000 0.0000 0.0000  4 Os 2.52, 4 Si 2.52
Cu 0.5000 0.5000 0.5000  4 Os 2.52, 4 Si 2.52
Si 0.2500 0.2500 0.2500  4 Li 2.52, 4 Cu 2.52
Os 0.7500 0.7500 0.7500  4 Li 2.52, 4 Cu 2.52

Calculated values
space-group type	F-43m
VASP energy	-5.23	eV per atom
total magnetic moment	0.00	μB per cell

Density functional theory data (GGA-PBE) for a relaxed structure of LiCuSiOs.

Lattice parameters (Å, degrees): 4.0716 4.0716 4.0716 60.00 60.00 60.00
Last column: nearest neighbours and their distance in Å.
Sites, in units of the cell vectors:
Li 0.0000 0.0000 0.0000  4 Os 2.49, 4 Cu 2.49
Cu 0.7500 0.7500 0.7500  4 Si 2.49, 4 Li 2.49
Si 0.5000 0.5000 0.5000  4 Cu 2.49, 4 Os 2.49
Os 0.2500 0.2500 0.2500  4 Li 2.49, 4 Si 2.49

Calculated values
space-group type	F-43m
VASP energy	-5.72	eV per atom
total magnetic moment	0.00	μB per cell

Density functional theory data (GGA-PBE) for a relaxed structure of LiTlCuOs.

Lattice parameters (Å, degrees): 4.3699 4.3699 4.3699 60.00 60.00 60.00
Last column: nearest neighbours and their distance in Å.
Sites, in units of the cell vectors:
Li 0.0000 0.0000 0.0000  4 Os 2.68, 4 Tl 2.68
Tl 0.2500 0.2500 0.2500  4 Li 2.68, 4 Cu 2.68
Cu 0.5000 0.5000 0.5000  4 Os 2.68, 4 Tl 2.68
Os 0.7500 0.7500 0.7500  4 Li 2.68, 4 Cu 2.68

Calculated values
space-group type	F-43m
VASP energy	-4.24	eV per atom
total magnetic moment	0.00	μB per cell

Density functional theory data (GGA-PBE) for a relaxed structure of LiTlCuOs.

Lattice parameters (Å, degrees): 4.4722 4.4722 4.4722 60.00 60.00 60.00
Last column: nearest neighbours and their distance in Å.
Sites, in units of the cell vectors:
Li 0.0000 0.0000 0.0000  4 Cu 2.74, 4 Os 2.74
Tl 0.5000 0.5000 0.5000  4 Cu 2.74, 4 Os 2.74
Cu 0.7500 0.7500 0.7500  4 Tl 2.74, 4 Li 2.74
Os 0.2500 0.2500 0.2500  4 Tl 2.74, 4 Li 2.74

Calculated values
space-group type	F-43m
VASP energy	-4.19	eV per atom
total magnetic moment	0.00	μB per cell